Below is a geometry-optimized LiBeFe2 structure, with properties calculated at the GGA-PBE level.

Properties
Calculated formation energy (eV/atom): 0.1613
Spin magnetization (Bohr magnetons per cell): 4.13
Crystal system: monoclinic
Theoretical density (g cm⁻³): 4.96

The structure in POSCAR format:
```
LiBeFe2
1.0
4.1056 -1.2168 0.0000
4.1056 1.2168 0.0000
-0.6867 0.0000 4.2805
Li Be Fe
1 1 2
direct
0.0000 0.0000 0.0000
0.2499 0.2499 0.7434
0.5163 0.5163 0.5120
0.7596 0.7596 0.2650
```